Here is crystalline CrInNi2C at its relaxed geometry from the Alexandria database. Energies are from GGA-PBE.

Properties
**Space group**: No. 123
**Energy relative to the elements**: 23 meV per atom

Cell: 3.892 3.892 3.863 Å, 90.00 90.00 90.00°
Fractional coordinates of all 5 atoms:
Cr 0.000 0.000 0.000
In 0.500 0.500 0.000
Ni 0.000 0.500 0.500
Ni 0.500 0.000 0.500
C 0.000 0.000 0.500